# 1
! ZnSb3Pb3, relaxed, DFT GGA-PBE; values from VASP
&SYSTEM
  ibrav = 0, nat = 28, ntyp = 3
/
ATOMIC_SPECIES
Pb 207.20 Pb.upf
Zn 65.41 Zn.upf
Sb 121.76 Sb.upf
CELL_PARAMETERS angstrom
-0.961 -3.908 2.096
9.482 2.246 8.537
-9.361 6.906 8.581
ATOMIC_POSITIONS angstrom
Pb 0.838 1.910 11.311
Pb -4.855 4.202 12.972
Pb -5.240 2.574 9.762
Pb -3.331 1.841 4.359
Pb 4.014 1.043 6.241
Pb -1.679 3.334 7.902
Pb 0.206 1.142 4.680
Pb -1.433 7.773 16.290
Pb 0.592 -2.529 2.923
Pb -1.047 4.102 14.533
Pb 4.398 2.670 9.451
Pb 2.490 3.404 14.854
Zn -1.533 5.154 11.361
Zn 6.265 0.599 11.358
Zn -7.106 4.645 7.855
Zn 0.692 0.090 7.852
Sb -1.269 0.124 2.105
Sb 1.551 2.664 8.134
Sb 5.259 -0.454 8.932
Sb 1.147 4.973 12.253
Sb 3.952 1.792 12.521
Sb -2.392 2.580 11.079
Sb -6.100 5.699 10.281
Sb 1.951 -1.352 5.741
Sb -4.793 3.452 6.692
Sb -2.793 6.596 13.472
Sb 0.428 5.120 17.108
Sb -1.988 0.271 6.960
! E in eV/atom: -3.527
! Symmetry: Pnma, No. 62

=====

# 2
! Zn2Sb5Pb5, relaxed, DFT GGA-PBE; values from VASP
&SYSTEM
  ibrav = 0, nat = 12, ntyp = 3
/
ATOMIC_SPECIES
Zn 65.41 Zn.upf
Pb 207.20 Pb.upf
Sb 121.76 Sb.upf
CELL_PARAMETERS angstrom
-1.961 -1.411 3.817
6.999 -2.649 5.289
-2.229 7.803 4.413
ATOMIC_POSITIONS angstrom
Zn 1.023 4.061 7.373
Zn 1.786 -0.318 6.145
Pb 1.716 4.446 10.544
Pb 1.093 -0.703 2.974
Pb -2.344 4.077 5.649
Pb 5.153 -0.334 7.869
Pb 2.385 2.577 4.851
Sb 0.000 0.000 0.000
Sb -1.315 4.068 8.847
Sb 3.430 2.664 8.092
Sb 4.124 -0.325 4.671
Sb -0.621 1.079 5.426
! E in eV/atom: -3.396
! Symmetry: C2/m, No. 12

=====

# 3
! Zn3Sb3Pb, relaxed, DFT GGA-PBE; values from VASP
&SYSTEM
  ibrav = 0, nat = 14, ntyp = 3
/
ATOMIC_SPECIES
Sb 121.76 Sb.upf
Zn 65.41 Zn.upf
Pb 207.20 Pb.upf
CELL_PARAMETERS angstrom
7.582 0.927 4.688
3.062 6.998 4.688
1.245 0.927 8.827
ATOMIC_POSITIONS angstrom
Sb 9.084 5.177 9.156
Sb 6.317 3.049 11.999
Sb 5.572 5.803 6.205
Sb 2.805 3.674 9.047
Sb 6.546 1.633 7.596
Sb 5.343 7.218 10.607
Zn 4.356 4.712 11.114
Zn 4.959 2.131 9.747
Zn 4.029 6.030 8.459
Zn 7.533 4.140 7.089
Zn 6.930 6.721 8.456
Zn 7.860 2.822 9.745
Pb 7.880 5.867 12.065
Pb 4.009 2.985 6.139
! E in eV/atom: -2.823
! Symmetry: R-3, No. 148

=====

# 4
! ZnSbPb4, relaxed, DFT GGA-PBE; values from VASP
&SYSTEM
  ibrav = 0, nat = 6, ntyp = 3
/
ATOMIC_SPECIES
Pb 207.20 Pb.upf
Zn 65.41 Zn.upf
Sb 121.76 Sb.upf
CELL_PARAMETERS angstrom
0.000 4.578 4.578
4.578 0.000 4.578
4.578 4.578 0.000
ATOMIC_POSITIONS angstrom
Pb 3.430 3.430 3.430
Pb 5.726 5.726 3.430
Pb 5.726 3.430 5.726
Pb 3.430 5.726 5.726
Zn 0.000 0.000 0.000
Sb 6.866 6.866 6.866
! E in eV/atom: -3.013
! Symmetry: F-43m, No. 216

=====

# 5
! ZnSbPb, relaxed, DFT GGA-PBE; values from VASP
&SYSTEM
  ibrav = 0, nat = 6, ntyp = 3
/
ATOMIC_SPECIES
Pb 207.20 Pb.upf
Sb 121.76 Sb.upf
Zn 65.41 Zn.upf
CELL_PARAMETERS angstrom
5.033 0.000 0.000
0.000 4.340 0.000
-2.517 -2.170 7.866
ATOMIC_POSITIONS angstrom
Pb 2.517 0.000 2.064
Pb 0.000 2.170 5.802
Sb 2.517 0.000 5.445
Sb 0.000 2.170 2.421
Zn 1.285 2.170 0.000
Zn 3.748 2.170 0.000
! E in eV/atom: -2.945
! Symmetry: Immm, No. 71

=====

# 6
! Zn2SbPb, relaxed, DFT GGA-PBE; values from VASP
&SYSTEM
  ibrav = 0, nat = 4, ntyp = 3
/
ATOMIC_SPECIES
Zn 65.41 Zn.upf
Sb 121.76 Sb.upf
Pb 207.20 Pb.upf
CELL_PARAMETERS angstrom
4.404 -2.543 -0.112
2.447 -1.042 4.337
0.218 -4.786 1.711
ATOMIC_POSITIONS angstrom
Zn 1.767 -2.093 1.484
Zn 5.302 -6.278 4.452
Sb 0.000 0.000 0.000
Pb 3.535 -4.185 2.968
! E in eV/atom: -2.402
! Symmetry: Fm-3m, No. 225

=====

# 7
! ZnSbPb3, relaxed, DFT GGA-PBE; values from VASP
&SYSTEM
  ibrav = 0, nat = 5, ntyp = 3
/
ATOMIC_SPECIES
Pb 207.20 Pb.upf
Sb 121.76 Sb.upf
Zn 65.41 Zn.upf
CELL_PARAMETERS angstrom
5.982 0.000 0.000
0.000 5.982 0.000
0.000 0.000 5.982
ATOMIC_POSITIONS angstrom
Pb 0.000 0.000 2.991
Pb 0.000 2.991 0.000
Pb 2.991 0.000 0.000
Sb 0.000 0.000 0.000
Zn 2.991 2.991 2.991
! E in eV/atom: -2.636
! Symmetry: Pm-3m, No. 221

=====

# 8
! Zn2SbPb, relaxed, DFT GGA-PBE; values from VASP
&SYSTEM
  ibrav = 0, nat = 4, ntyp = 3
/
ATOMIC_SPECIES
Pb 207.20 Pb.upf
Sb 121.76 Sb.upf
Zn 65.41 Zn.upf
CELL_PARAMETERS angstrom
-2.480 -1.700 4.198
-3.826 -3.435 -0.475
0.679 -4.859 1.609
ATOMIC_POSITIONS angstrom
Pb -2.814 -4.997 2.666
Sb -4.220 -7.496 3.999
Zn -1.407 -2.499 1.333
Zn 0.000 0.000 0.000
! E in eV/atom: -2.370
! Symmetry: F-43m, No. 216

=====

Sequential calculated volume output: 30.34, 29.16, 27.73, 31.97, 28.64, 23.27, 42.82, 24.34 Å³ per atom